Record 1
An optimized crystal structure of NdY2H, computed with GGA-PBE.

Cell and atoms, written as extended XYZ:
```
4
Lattice="3.6347 0.0000 0.0000 1.8174 3.1478 0.0000 1.8174 1.0493 8.6517" Properties=species:S:1:pos:R:3 pbc="T T T"
Nd 3.6347 2.0985 4.3259
H 0.0000 0.0000 0.0000
Y 1.8174 1.0493 1.3810
Y 5.4521 3.1478 7.2708
```

Properties
As for the space group: No. 166. The energy above the most stable polymorph in this dataset is 0 meV per atom. For the total magnetization, the calculation gives 0.000 μB/atom.

Record 2
An optimized crystal structure of SmTiRuRh, computed with GGA-PBE.

Cell and atoms, written as extended XYZ:
```
4
Lattice="4.6547 0.0000 0.0000 2.3274 4.0311 0.0000 2.3274 1.3437 3.8006" Properties=species:S:1:pos:R:3 pbc="T T T"
Sm 6.9821 4.0311 2.8504
Ru 4.6547 2.6874 1.9003
Rh 0.0000 0.0000 0.0000
Ti 2.3274 1.3437 0.9501
```

Properties
As for the space group: No. 216. For the total magnetization, the calculation gives 0.002 μB/atom. The calculation puts the raw total energy at -7.735 eV/atom.

Record 3
An optimized crystal structure of CaCd2Rh2, computed with GGA-PBE.

Cell and atoms, written as extended XYZ:
```
10
Lattice="-4.5697 -3.2063 -5.4883 2.5354 -7.1178 2.0473 -2.3633 -0.2361 2.1057" Properties=species:S:1:pos:R:3 pbc="T T T"
Cd -2.3714 -7.2775 -3.4777
Ca 0.0000 0.0000 0.0000
Rh -0.2517 -5.3911 1.5052
Cd 0.5170 -7.3688 -0.2462
Rh -2.2868 -2.3707 -0.4402
Rh -2.1108 -8.1896 -0.8952
Cd 0.3371 -3.0466 0.0367
Cd -2.5513 -2.9553 -3.1948
Rh -4.1459 -5.1691 -2.8405
Ca -1.0171 -5.1621 -1.7205
```

Properties
As for the space group: No. 127. The energy above the most stable polymorph in this dataset is 44 meV per atom. For the total magnetization, the calculation gives 0.000 μB/atom.

Record 4
An optimized crystal structure of CePaAgSb, computed with GGA-PBE.

Cell and atoms, written as extended XYZ:
```
4
Lattice="-2.8585 4.2819 -1.2715 -4.8034 0.7102 2.1319 -0.7705 3.8333 3.5825" Properties=species:S:1:pos:R:3 pbc="T T T"
Ag -6.3244 6.6191 3.3322
Ce 0.0000 0.0000 0.0000
Sb -2.1081 2.2064 1.1107
Pa -4.2162 4.4127 2.2215
```

Properties
As for the space group: No. 216. The formation energy without anion corrections is -159 meV per atom. For the total magnetization, the calculation gives 0.904 μB/atom.

Record 5
An optimized crystal structure of K2TiSnS4, computed with GGA-PBE.

Cell and atoms, written as extended XYZ:
```
16
Lattice="6.5123 0.0000 0.0000 0.0000 8.2697 0.0000 0.0000 0.0000 9.5767" Properties=species:S:1:pos:R:3 pbc="T T T"
K 2.9970 2.7124 7.2366
Ti 3.2903 7.0788 4.7884
S 2.8906 5.8745 2.9139
S 2.3097 0.8431 0.0000
K 6.2532 5.5573 7.1285
S 5.5940 7.3431 0.0000
S 2.8906 5.8745 6.6628
Sn 3.0794 6.7083 0.0000
Sn 6.3355 1.5614 4.7884
Ti 0.0342 1.1909 0.0000
S 5.5658 7.4265 4.7884
S 6.1467 2.3952 1.8745
S 2.3379 0.9266 4.7884
K 2.9970 2.7124 2.3401
S 6.1467 2.3952 7.7022
K 6.2532 5.5573 2.4483
```

Properties
As for the space group: No. 31. The formation energy without anion corrections is -1075 meV per atom. For the total magnetization, the calculation gives 0.000 μB/atom.

Record 6
An optimized crystal structure of Pr2TlBi, computed with GGA-PBE.

Cell and atoms, written as extended XYZ:
```
4
Lattice="4.3664 0.0000 0.0000 2.1832 3.7814 0.0000 2.1832 1.2605 8.5758" Properties=species:S:1:pos:R:3 pbc="T T T"
Pr 2.1832 1.2605 2.0001
Pr 2.1832 1.2605 6.5858
Tl 4.3664 2.5210 4.3036
Bi 6.5496 3.7814 8.5499
```

Properties
As for the space group: No. 160. The energy above the most stable polymorph in this dataset is 155 meV per atom. For the total magnetization, the calculation gives 0.000 μB/atom.

Record 7
An optimized crystal structure of Sr3Al2Sn2, computed with GGA-PBE.

Cell and atoms, written as extended XYZ:
```
7
Lattice="10.5607 -0.0004 -0.0017 8.4285 6.3631 0.0017 -9.3889 -3.4970 3.3391" Properties=species:S:1:pos:R:3 pbc="T T T"
Sn 6.8081 2.2812 0.0000
Al 1.7878 -1.3460 1.6687
Al 7.8126 4.2117 1.6704
Sn 12.1812 4.0816 0.0000
Sr -0.4802 1.4330 1.6704
Sr 15.5257 5.2022 0.0000
Sr 3.4635 1.1605 0.0000
```

Properties
As for the space group: No. 71. For the total magnetization, the calculation gives 0.000 μB/atom. The calculation puts the raw total energy at -3.452 eV/atom.

Record 8
An optimized crystal structure of Tl5SI2Cl, computed with GGA-PBE.

Cell and atoms, written as extended XYZ:
```
18
Lattice="4.6473 0.0000 0.0000 -2.3236 10.2419 0.0000 0.0000 0.0000 14.5627" Properties=species:S:1:pos:R:3 pbc="T T T"
Tl 2.3236 0.0964 3.7184
I 2.3236 7.6219 11.9163
I 2.3236 7.9396 2.7405
I 0.0000 2.3022 10.0219
S 2.3236 5.7789 7.5228
Tl 2.3236 8.6046 8.2352
S 0.0000 4.4630 0.2414
Tl 0.0000 5.6465 9.5421
Tl 0.0000 10.1455 10.9997
Tl 2.3236 4.5953 2.2607
Cl 0.0000 9.2860 6.4485
Tl 0.0000 7.4328 0.0192
I 0.0000 2.6199 4.6350
Tl 2.3236 2.8090 7.3005
Cl 2.3236 0.9558 13.7299
Tl 2.3236 4.0799 12.8256
Tl 0.0000 6.1620 5.5442
Tl 0.0000 1.6372 0.9539
```

Properties
As for the space group: No. 36. The formation energy without anion corrections is -601 meV per atom. For the total magnetization, the calculation gives 0.000 μB/atom.

Record 9
An optimized crystal structure of SbAs2Pb, computed with GGA-PBE.

Cell and atoms, written as extended XYZ:
```
4
Lattice="-0.3708 -2.6009 -2.1778 3.3898 -0.1988 -0.3393 0.3390 -5.6621 6.7043" Properties=species:S:1:pos:R:3 pbc="T T T"
Sb 1.7671 -5.7025 3.8361
As 0.0219 -0.3657 0.4331
As 1.5749 -2.4930 0.0359
Pb 0.1635 -2.7315 3.2342
```

Properties
As for the space group: No. 99. The formation energy without anion corrections is 196 meV per atom. The energy above the most stable polymorph in this dataset is 162 meV per atom. For the total magnetization, the calculation gives 0.000 μB/atom.

Record 10
An optimized crystal structure of RbSiN3, computed with GGA-PBE.

Cell and atoms, written as extended XYZ:
```
5
Lattice="4.3929 0.0000 0.0000 0.0000 4.3929 0.0000 0.0000 0.0000 4.3929" Properties=species:S:1:pos:R:3 pbc="T T T"
N 0.0000 2.1965 0.0000
N 0.0000 0.0000 2.1965
Si 2.1965 2.1965 2.1965
Rb 0.0000 0.0000 0.0000
N 2.1965 0.0000 0.0000
```

Properties
As for the space group: No. 221. The formation energy without anion corrections is 3477 meV per atom. For the total magnetization, the calculation gives 0.621 μB/atom.

Record 11
An optimized crystal structure of PmAl5Pt3, computed with GGA-PBE.

Cell and atoms, written as extended XYZ:
```
18
Lattice="-3.8882 0.7080 -0.9425 0.3174 -0.9785 6.7127 1.8326 12.3431 1.7125" Properties=species:S:1:pos:R:3 pbc="T T T"
Pm -0.0588 2.8874 2.4114
Al 0.0000 0.0000 0.0000
Al 1.0644 11.3033 4.1001
Al -2.1209 5.3610 4.0197
Pt -0.2630 6.2432 5.7750
Pt 0.9697 9.1020 2.8373
Pt -2.2264 0.7700 1.0058
Al 0.9163 6.1716 0.8563
Pt -2.7079 2.9707 4.6454
Al 0.3827 6.7117 3.4631
Al -1.1670 1.2833 5.7783
Pm -1.6794 9.1853 5.0713
Al -0.9423 8.2897 1.3577
Al -0.7958 3.7830 6.1251
Al -0.5712 10.7894 1.7045
Pt -1.4752 5.8295 1.7078
Al -2.8026 0.7694 3.3826
Pt 0.4882 11.3027 6.4769
```

Properties
As for the space group: No. 63. For the total magnetization, the calculation gives 0.000 μB/atom. The calculation puts the raw total energy at -5.557 eV/atom.

Record 12
An optimized crystal structure of CaNiIN2, computed with GGA-PBE.

Cell and atoms, written as extended XYZ:
```
5
Lattice="4.0792 0.0000 0.0000 0.0000 4.0792 0.0000 0.0000 0.0000 5.2393" Properties=species:S:1:pos:R:3 pbc="T T T"
I 0.0000 0.0000 2.6196
Ni 0.0000 0.0000 0.0000
Ca 2.0396 2.0396 2.6196
N 2.0396 0.0000 0.0000
N 0.0000 2.0396 0.0000
```

Properties
As for the space group: No. 123. The formation energy without anion corrections is 735 meV per atom. The energy above the most stable polymorph in this dataset is 0 meV per atom. For the total magnetization, the calculation gives 0.627 μB/atom.

Record 13
An optimized crystal structure of SmU2SiN5, computed with GGA-PBE.

Cell and atoms, written as extended XYZ:
```
18
Lattice="5.4776 0.0000 0.0000 0.0000 6.4642 0.0000 0.0000 0.0000 6.4642" Properties=species:S:1:pos:R:3 pbc="T T T"
N 4.1828 4.1488 5.5475
Sm 0.0000 0.0000 0.0000
N 4.1828 2.3154 0.9167
U 2.7388 4.3557 1.1236
N 2.7388 0.0000 0.0000
U 2.7388 1.1236 2.1085
N 4.1828 0.9167 4.1488
N 1.2948 4.1488 5.5475
N 2.7388 3.2321 3.2321
N 1.2948 2.3154 0.9167
U 2.7388 2.1085 5.3406
U 2.7388 5.3406 4.3557
Si 0.0000 0.0000 3.2321
N 1.2948 0.9167 4.1488
Si 0.0000 3.2321 0.0000
N 1.2948 5.5475 2.3154
N 4.1828 5.5475 2.3154
Sm 0.0000 3.2321 3.2321
```

Properties
As for the space group: No. 127. The formation energy without anion corrections is -1109 meV per atom. For the total magnetization, the calculation gives 0.182 μB/atom.

Record 14
An optimized crystal structure of LiTcBi, computed with GGA-PBE.

Cell and atoms, written as extended XYZ:
```
12
Lattice="4.3123 0.0000 -0.0198 0.0000 4.0793 0.0000 -4.3126 0.0000 13.2032" Properties=species:S:1:pos:R:3 pbc="T T T"
Li 1.0646 2.0397 5.8559
Li -1.0917 0.0000 12.4575
Tc 1.0870 2.0397 9.0655
Tc 3.2350 2.0397 1.0862
Bi 1.0886 2.0397 3.0535
Tc 1.0787 0.0000 7.6878
Li -1.0780 2.0397 7.5291
Bi -1.0677 0.0000 9.6551
Tc 3.2433 0.0000 2.4639
Bi -3.2456 2.0397 12.2234
Bi -1.0893 0.0000 5.6218
Li 1.0783 0.0000 0.9275
```

Properties
As for the space group: No. 8. The energy above the most stable polymorph in this dataset is 77 meV per atom. For the total magnetization, the calculation gives 0.000 μB/atom.

Record 15
An optimized crystal structure of Sr4TaZn, computed with GGA-PBE.

Cell and atoms, written as extended XYZ:
```
6
Lattice="0.0000 4.8723 4.8723 4.8723 0.0000 4.8723 4.8723 4.8723 0.0000" Properties=species:S:1:pos:R:3 pbc="T T T"
Sr 6.0843 3.6602 6.0843
Zn 0.0000 0.0000 0.0000
Ta 7.3084 7.3084 7.3084
Sr 6.0843 6.0843 3.6602
Sr 3.6602 3.6602 3.6602
Sr 3.6602 6.0843 6.0843
```

Properties
As for the space group: No. 216. For the total magnetization, the calculation gives 0.806 μB/atom. The calculation puts the raw total energy at -2.168 eV/atom.

Record 16
An optimized crystal structure of Dy2ZnTe, computed with GGA-PBE.

Cell and atoms, written as extended XYZ:
```
4
Lattice="4.0451 0.0000 0.0000 2.0226 3.5032 0.0000 2.0226 1.1677 7.7631" Properties=species:S:1:pos:R:3 pbc="T T T"
Te 4.0451 2.3354 3.9009
Dy 2.0226 1.1677 5.9515
Zn 6.0677 3.5032 7.7391
Dy 2.0226 1.1677 1.8161
```

Properties
As for the space group: No. 160. The formation energy without anion corrections is -711 meV per atom. The energy above the most stable polymorph in this dataset is 102 meV per atom. For the total magnetization, the calculation gives 0.000 μB/atom.

Record 17
An optimized crystal structure of CuAgF2, computed with GGA-PBE.

Cell and atoms, written as extended XYZ:
```
4
Lattice="2.8622 0.0000 0.0000 0.0000 2.8622 0.0000 0.0000 0.0000 6.0103" Properties=species:S:1:pos:R:3 pbc="T T T"
F 0.0000 0.0000 1.2893
Ag 1.4311 1.4311 3.0051
F 0.0000 0.0000 4.7210
Cu 1.4311 1.4311 0.0000
```

Properties
As for the space group: No. 123. The formation energy without anion corrections is -834 meV per atom. For the total magnetization, the calculation gives 0.056 μB/atom.

Record 18
An optimized crystal structure of Pr4Sm7Sc, computed with GGA-PBE.

Cell and atoms, written as extended XYZ:
```
12
Lattice="3.6338 0.0000 0.0000 -1.8169 3.1469 0.0000 0.0000 0.0000 35.4948" Properties=species:S:1:pos:R:3 pbc="T T T"
Sc 0.0000 0.0000 17.7474
Sm 0.0000 2.0980 15.0479
Sm 0.0000 0.0000 8.9878
Sm 0.0000 0.0000 26.5071
Sm 1.8169 1.0490 20.4469
Sm 0.0000 0.0000 0.0000
Pr 1.8169 1.0490 3.0100
Pr 0.0000 2.0980 23.4948
Pr 1.8169 1.0490 12.0000
Sm 1.8169 1.0490 29.4599
Pr 0.0000 2.0980 32.4848
Sm 0.0000 2.0980 6.0349
```

Properties
As for the space group: No. 164. The energy above the most stable polymorph in this dataset is 0 meV per atom. For the total magnetization, the calculation gives 0.000 μB/atom.

Record 19
An optimized crystal structure of TaMo6W4, computed with GGA-PBE.

Cell and atoms, written as extended XYZ:
```
11
Lattice="5.2003 0.0000 0.0000 0.0000 5.2003 0.0000 -2.6001 -2.6001 7.1189" Properties=species:S:1:pos:R:3 pbc="T T T"
W 1.0125 1.0125 1.9249
Mo 2.6001 0.0000 0.0000
W -1.5877 1.5877 5.1941
Ta 2.6001 2.6001 0.0000
Mo 0.0000 2.6001 0.0000
Mo -1.0407 -1.0407 4.5121
Mo 1.5594 3.6408 2.6068
W 1.5877 -1.5877 5.1941
Mo 3.6408 1.5594 2.6068
W 4.1878 4.1878 1.9249
Mo 1.0407 1.0407 4.5121
```

Properties
As for the space group: No. 121. For the total magnetization, the calculation gives 0.000 μB/atom. The calculation puts the raw total energy at -10.997 eV/atom.

Record 20
An optimized crystal structure of CaPAu, computed with GGA-PBE.

Cell and atoms, written as extended XYZ:
```
6
Lattice="-1.5191 3.8135 1.8575 0.5508 -4.3416 3.8611 5.8238 -0.2109 -0.3068" Properties=species:S:1:pos:R:3 pbc="T T T"
Ca 4.4879 0.1149 1.5506
Ca 1.8516 -1.9504 3.6348
P 1.4597 1.1426 2.4702
Au 4.9244 -1.1799 4.5530
P 1.6921 -0.7020 0.9384
Au 4.6025 -2.9314 2.4096
```

Properties
As for the space group: No. 12. For the total magnetization, the calculation gives 0.000 μB/atom. The calculation puts the raw total energy at -4.286 eV/atom.

Record 21
An optimized crystal structure of SrTaW, computed with GGA-PBE.

Cell and atoms, written as extended XYZ:
```
3
Lattice="-5.4190 -3.3509 5.1230 -6.5882 -3.8052 2.3552 1.3767 -2.4933 1.0593" Properties=species:S:1:pos:R:3 pbc="T T T"
W -7.7827 -5.6843 5.4522
Ta -2.7790 -3.9411 3.0524
Sr 1.3079 -2.5173 1.0923
```

Properties
As for the space group: No. 42. The energy above the most stable polymorph in this dataset is 173 meV per atom. For the total magnetization, the calculation gives 0.000 μB/atom.

Record 22
An optimized crystal structure of PmSmNi2, computed with GGA-PBE.

Cell and atoms, written as extended XYZ:
```
4
Lattice="3.5914 0.0000 -1.3033 0.0000 4.2758 0.0000 0.0027 0.0000 5.5683" Properties=species:S:1:pos:R:3 pbc="T T T"
Pm 2.5924 0.0000 4.5256
Ni 0.0424 0.0000 3.1079
Sm 1.6000 2.1379 1.8085
Ni 0.5530 2.1379 4.5148
```

Properties
As for the space group: No. 6. The energy above the most stable polymorph in this dataset is 0 meV per atom. For the total magnetization, the calculation gives 0.000 μB/atom.

Record 23
An optimized crystal structure of Dy5CuRh2, computed with GGA-PBE.

Cell and atoms, written as extended XYZ:
```
16
Lattice="-6.0294 -3.0439 -3.6068 0.5501 -6.2649 4.3677 -1.2829 7.3835 4.0407" Properties=species:S:1:pos:R:3 pbc="T T T"
Cu -4.7509 -3.2898 2.5910
Dy -5.0253 1.9519 1.2586
Dy -4.6547 -6.5023 2.5087
Dy -3.6886 -0.6446 4.0776
Dy -1.7369 -3.8772 3.5430
Rh -0.6333 -2.6878 1.0829
Dy 0.0000 0.0000 0.0000
Rh -1.7082 -6.5017 2.4592
Dy -5.9914 -3.9058 -0.3103
Dy -3.0736 -1.2807 0.7240
Dy -2.7397 -4.6544 0.3804
Cu -2.0113 1.3646 2.2106
Dy -0.7708 1.9805 5.1119
Rh -3.7712 -2.8071 -1.6983
Dy -2.1075 4.5770 2.2929
Rh -4.8460 -6.6210 -0.3220
```

Properties
As for the space group: No. 140. For the total magnetization, the calculation gives 0.000 μB/atom. The calculation puts the raw total energy at -5.758 eV/atom.

Record 24
An optimized crystal structure of BaLaRh2, computed with GGA-PBE.

Cell and atoms, written as extended XYZ:
```
4
Lattice="0.0000 3.5821 3.5821 3.5821 0.0000 3.5821 3.5821 3.5821 0.0000" Properties=species:S:1:pos:R:3 pbc="T T T"
Ba 3.5821 3.5821 3.5821
La 1.7911 1.7911 1.7911
Rh 5.3732 5.3732 5.3732
Rh 0.0000 0.0000 0.0000
```

Properties
As for the space group: No. 216. For the total magnetization, the calculation gives 0.000 μB/atom. The calculation puts the raw total energy at -5.326 eV/atom.